No. 1
# DyEr2Se3, optimized geometry, DFT PBE
# - raw total energy (eV per atom) = -5.740
# - symmetry = Immm (71)
# - size of the total moment (μB/atom) = 0.00
# - formation energy from raw total energies (meV per atom) = -1709
data_DyEr2Se3
_chemical_formula_sum 'Dy1 Er2 Se3'
_symmetry_space_group_name_H-M 'P 1'
_symmetry_Int_Tables_number 1
_cell_length_a 4.072
_cell_length_b 5.707
_cell_length_c 7.000
_cell_angle_alpha 114.06
_cell_angle_beta 106.91
_cell_angle_gamma 90.00
loop_
_symmetry_equiv_pos_as_xyz
'x,y,z'
loop_
_atom_site_label
_atom_site_type_symbol
_atom_site_fract_x
_atom_site_fract_y
_atom_site_fract_z
Dy1 Dy 0.500 0.500 0.500
Se1 Se 0.169 0.669 0.839
Se2 Se 0.500 0.000 0.500
Se3 Se 0.831 0.331 0.161
Er1 Er 0.164 0.164 0.828
Er2 Er 0.836 0.836 0.172

***

No. 2
# CeTmNi2Ge2, optimized geometry, DFT PBE
# - calculated formation energy (eV/f.u.) = -4.5
# - raw total energy (eV per atom) = -5.956
# - symmetry = P-3m1 (164)
# - size of the total moment (μB/atom) = 0.00
data_CeTmNi2Ge2
_chemical_formula_sum 'Ce1 Tm1 Ni2 Ge2'
_symmetry_space_group_name_H-M 'P 1'
_symmetry_Int_Tables_number 1
_cell_length_a 4.203
_cell_length_b 4.203
_cell_length_c 7.264
_cell_angle_alpha 90.00
_cell_angle_beta 90.00
_cell_angle_gamma 120.00
loop_
_symmetry_equiv_pos_as_xyz
'x,y,z'
loop_
_atom_site_label
_atom_site_type_symbol
_atom_site_fract_x
_atom_site_fract_y
_atom_site_fract_z
Tm1 Tm 0.000 0.000 0.500
Ni1 Ni 0.333 0.667 0.723
Ni2 Ni 0.667 0.333 0.277
Ge1 Ge 0.667 0.333 0.740
Ge2 Ge 0.333 0.667 0.260
Ce1 Ce 0.000 0.000 0.000

***

No. 3
# KV2S4, optimized geometry, DFT PBE
# - raw total energy (eV per atom) = -5.989
# - symmetry = Cmcm (63)
# - offset from the most stable computed form (meV per atom) = 142
# - size of the total moment (μB/atom) = 0.43
# - formation energy from raw total energies (meV per atom) = -868
data_KV2S4
_chemical_formula_sum 'K2 V4 S8'
_symmetry_space_group_name_H-M 'P 1'
_symmetry_Int_Tables_number 1
_cell_length_a 3.573
_cell_length_b 6.341
_cell_length_c 12.439
_cell_angle_alpha 90.00
_cell_angle_beta 90.00
_cell_angle_gamma 106.36
loop_
_symmetry_equiv_pos_as_xyz
'x,y,z'
loop_
_atom_site_label
_atom_site_type_symbol
_atom_site_fract_x
_atom_site_fract_y
_atom_site_fract_z
S1 S 0.761 0.522 0.096
S2 S 0.761 0.522 0.404
S3 S 0.239 0.478 0.904
S4 S 0.906 0.811 0.750
S5 S 0.094 0.189 0.250
S6 S 0.239 0.478 0.596
S7 S 0.500 0.000 0.000
S8 S 0.500 0.000 0.500
V1 V 0.867 0.734 0.929
V2 V 0.133 0.266 0.071
V3 V 0.133 0.266 0.429
V4 V 0.867 0.734 0.571
K1 K 0.392 0.785 0.250
K2 K 0.608 0.215 0.750

***

No. 4
# AlFe3Ru, optimized geometry, DFT PBE
# - calculated formation energy (eV/f.u.) = 6.5
# - raw total energy (eV per atom) = -6.377
# - symmetry = Pm-3m (221)
# - offset from the most stable computed form (meV per atom) = 39
# - size of the total moment (μB/atom) = 1.82
data_AlFe3Ru
_chemical_formula_sum 'Al1 Fe3 Ru1'
_symmetry_space_group_name_H-M 'P 1'
_symmetry_Int_Tables_number 1
_cell_length_a 4.550
_cell_length_b 4.550
_cell_length_c 4.550
_cell_angle_alpha 90.00
_cell_angle_beta 90.00
_cell_angle_gamma 90.00
loop_
_symmetry_equiv_pos_as_xyz
'x,y,z'
loop_
_atom_site_label
_atom_site_type_symbol
_atom_site_fract_x
_atom_site_fract_y
_atom_site_fract_z
Fe1 Fe 0.500 0.000 0.000
Fe2 Fe 0.000 0.500 0.000
Fe3 Fe 0.000 0.000 0.500
Ru1 Ru 0.000 0.000 0.000
Al1 Al 0.500 0.500 0.500

***

No. 5
# Pr2Ga12Ag, optimized geometry, DFT PBE
# - calculated formation energy (eV/f.u.) = -4.8
# - raw total energy (eV per atom) = -3.568
# - symmetry = P4/nbm (125)
# - size of the total moment (μB/atom) = 0.00
data_Pr2Ga12Ag
_chemical_formula_sum 'Pr4 Ga24 Ag2'
_symmetry_space_group_name_H-M 'P 1'
_symmetry_Int_Tables_number 1
_cell_length_a 6.299
_cell_length_b 6.299
_cell_length_c 15.376
_cell_angle_alpha 90.00
_cell_angle_beta 90.00
_cell_angle_gamma 90.00
loop_
_symmetry_equiv_pos_as_xyz
'x,y,z'
loop_
_atom_site_label
_atom_site_type_symbol
_atom_site_fract_x
_atom_site_fract_y
_atom_site_fract_z
Ga1 Ga 0.750 0.750 0.908
Ga2 Ga 0.500 0.500 0.346
Ga3 Ga 0.250 0.250 0.908
Ga4 Ga 0.750 0.250 0.908
Ga5 Ga 0.250 0.750 0.092
Ga6 Ga 0.171 0.671 0.570
Ga7 Ga 0.500 0.500 0.816
Ga8 Ga 0.500 0.500 0.184
Ga9 Ga 0.329 0.829 0.430
Ga10 Ga 0.000 0.000 0.654
Ga11 Ga 0.000 0.000 0.816
Ga12 Ga 0.500 0.500 0.654
Ga13 Ga 0.329 0.171 0.570
Ga14 Ga 0.000 0.000 0.184
Ga15 Ga 0.750 0.750 0.092
Ga16 Ga 0.829 0.329 0.570
Ga17 Ga 0.250 0.250 0.092
Ga18 Ga 0.000 0.000 0.346
Ga19 Ga 0.671 0.829 0.570
Ga20 Ga 0.250 0.750 0.908
Ga21 Ga 0.671 0.171 0.430
Ga22 Ga 0.750 0.250 0.092
Ga23 Ga 0.829 0.671 0.430
Ga24 Ga 0.171 0.329 0.430
Pr1 Pr 0.000 0.500 0.247
Pr2 Pr 0.500 0.000 0.247
Pr3 Pr 0.500 0.000 0.753
Pr4 Pr 0.000 0.500 0.753
Ag1 Ag 0.000 0.500 0.000
Ag2 Ag 0.500 0.000 0.000

***

No. 6
# NiPd2Rh, optimized geometry, DFT PBE
# - calculated formation energy (eV/f.u.) = 0.4
# - raw total energy (eV per atom) = -5.779
# - symmetry = R3m (160)
# - offset from the most stable computed form (meV per atom) = 28
# - size of the total moment (μB/atom) = 0.48
data_NiPd2Rh
_chemical_formula_sum 'Ni1 Pd2 Rh1'
_symmetry_space_group_name_H-M 'P 1'
_symmetry_Int_Tables_number 1
_cell_length_a 2.734
_cell_length_b 2.734
_cell_length_c 8.918
_cell_angle_alpha 81.18
_cell_angle_beta 81.18
_cell_angle_gamma 60.00
loop_
_symmetry_equiv_pos_as_xyz
'x,y,z'
loop_
_atom_site_label
_atom_site_type_symbol
_atom_site_fract_x
_atom_site_fract_y
_atom_site_fract_z
Pd1 Pd 0.254 0.254 0.239
Pd2 Pd 0.080 0.080 0.761
Rh1 Rh 0.500 0.500 0.501
Ni1 Ni 0.667 0.667 0.999

***

No. 7
# SmPtPb, optimized geometry, DFT PBE
# - calculated formation energy (eV/f.u.) = -1.8
# - raw total energy (eV per atom) = -5.438
# - symmetry = I4mm (107)
# - size of the total moment (μB/atom) = 0.00
data_SmPtPb
_chemical_formula_sum 'Sm1 Pt1 Pb1'
_symmetry_space_group_name_H-M 'P 1'
_symmetry_Int_Tables_number 1
_cell_length_a 3.570
_cell_length_b 3.570
_cell_length_c 6.350
_cell_angle_alpha 106.33
_cell_angle_beta 106.33
_cell_angle_gamma 90.00
loop_
_symmetry_equiv_pos_as_xyz
'x,y,z'
loop_
_atom_site_label
_atom_site_type_symbol
_atom_site_fract_x
_atom_site_fract_y
_atom_site_fract_z
Sm1 Sm 0.258 0.258 0.517
Pt1 Pt 0.621 0.621 0.242
Pb1 Pb 0.971 0.971 0.942

***

No. 8
# Pu2Ga3Ni2, optimized geometry, DFT PBE
# - calculated formation energy (eV/f.u.) = -2.6
# - raw total energy (eV per atom) = -7.422
# - symmetry = C2/m (12)
# - size of the total moment (μB/atom) = 1.59
data_Pu2Ga3Ni2
_chemical_formula_sum 'Pu2 Ga3 Ni2'
_symmetry_space_group_name_H-M 'P 1'
_symmetry_Int_Tables_number 1
_cell_length_a 4.049
_cell_length_b 5.503
_cell_length_c 6.904
_cell_angle_alpha 116.62
_cell_angle_beta 90.00
_cell_angle_gamma 111.58
loop_
_symmetry_equiv_pos_as_xyz
'x,y,z'
loop_
_atom_site_label
_atom_site_type_symbol
_atom_site_fract_x
_atom_site_fract_y
_atom_site_fract_z
Pu1 Pu 0.858 0.715 0.222
Pu2 Pu 0.142 0.285 0.778
Ni1 Ni 0.870 0.739 0.797
Ni2 Ni 0.130 0.261 0.203
Ga1 Ga 0.500 0.000 0.000
Ga2 Ga 0.363 0.725 0.558
Ga3 Ga 0.637 0.275 0.442

***

No. 9
# CeMg4N4, optimized geometry, DFT PBE
# - raw total energy (eV per atom) = -5.923
# - symmetry = C2/m (12)
# - size of the total moment (μB/atom) = 0.00
# - formation energy from raw total energies (meV per atom) = -855
data_CeMg4N4
_chemical_formula_sum 'Ce1 Mg4 N4'
_symmetry_space_group_name_H-M 'P 1'
_symmetry_Int_Tables_number 1
_cell_length_a 3.348
_cell_length_b 5.675
_cell_length_c 7.065
_cell_angle_alpha 77.63
_cell_angle_beta 76.29
_cell_angle_gamma 72.84
loop_
_symmetry_equiv_pos_as_xyz
'x,y,z'
loop_
_atom_site_label
_atom_site_type_symbol
_atom_site_fract_x
_atom_site_fract_y
_atom_site_fract_z
Mg1 Mg 0.868 0.882 0.382
Mg2 Mg 0.699 0.415 0.188
Mg3 Mg 0.132 0.118 0.618
Mg4 Mg 0.301 0.585 0.812
N1 N 0.087 0.703 0.124
N2 N 0.274 0.142 0.309
N3 N 0.913 0.297 0.876
N4 N 0.726 0.858 0.691
Ce1 Ce 0.500 0.000 0.000

***

No. 10
# TaMnSeN2, optimized geometry, DFT PBE
# - raw total energy (eV per atom) = -8.089
# - symmetry = P4/mmm (123)
# - offset from the most stable computed form (meV per atom) = 0
# - size of the total moment (μB/atom) = 0.92
# - formation energy from raw total energies (meV per atom) = 143
data_TaMnSeN2
_chemical_formula_sum 'Ta1 Mn1 Se1 N2'
_symmetry_space_group_name_H-M 'P 1'
_symmetry_Int_Tables_number 1
_cell_length_a 3.988
_cell_length_b 3.988
_cell_length_c 5.419
_cell_angle_alpha 90.00
_cell_angle_beta 90.00
_cell_angle_gamma 90.00
loop_
_symmetry_equiv_pos_as_xyz
'x,y,z'
loop_
_atom_site_label
_atom_site_type_symbol
_atom_site_fract_x
_atom_site_fract_y
_atom_site_fract_z
N1 N 0.500 0.000 0.000
N2 N 0.000 0.500 0.000
Ta1 Ta 0.000 0.000 0.000
Mn1 Mn 0.500 0.500 0.500
Se1 Se 0.000 0.000 0.500

***

No. 11
# Ga2Sb2Au5, optimized geometry, DFT PBE
# - raw total energy (eV per atom) = -3.485
# - symmetry = P-3m1 (164)
# - offset from the most stable computed form (meV per atom) = 13
# - size of the total moment (μB/atom) = 0.00
# - formation energy from raw total energies (meV per atom) = -76
data_Ga2Sb2Au5
_chemical_formula_sum 'Ga2 Sb2 Au5'
_symmetry_space_group_name_H-M 'P 1'
_symmetry_Int_Tables_number 1
_cell_length_a 4.197
_cell_length_b 4.197
_cell_length_c 12.443
_cell_angle_alpha 90.00
_cell_angle_beta 90.00
_cell_angle_gamma 120.00
loop_
_symmetry_equiv_pos_as_xyz
'x,y,z'
loop_
_atom_site_label
_atom_site_type_symbol
_atom_site_fract_x
_atom_site_fract_y
_atom_site_fract_z
Au1 Au 0.000 0.000 0.000
Au2 Au 0.667 0.333 0.439
Au3 Au 0.333 0.667 0.256
Au4 Au 0.667 0.333 0.744
Au5 Au 0.333 0.667 0.561
Ga1 Ga 0.000 0.000 0.647
Ga2 Ga 0.000 0.000 0.353
Sb1 Sb 0.667 0.333 0.127
Sb2 Sb 0.333 0.667 0.873

***

No. 12
# DyLuAlAg, optimized geometry, DFT PBE
# - calculated formation energy (eV/f.u.) = -1.4
# - raw total energy (eV per atom) = -4.277
# - symmetry = F-43m (216)
# - size of the total moment (μB/atom) = 0.00
data_DyLuAlAg
_chemical_formula_sum 'Dy1 Lu1 Al1 Ag1'
_symmetry_space_group_name_H-M 'P 1'
_symmetry_Int_Tables_number 1
_cell_length_a 5.099
_cell_length_b 5.099
_cell_length_c 5.099
_cell_angle_alpha 60.00
_cell_angle_beta 60.00
_cell_angle_gamma 60.00
loop_
_symmetry_equiv_pos_as_xyz
'x,y,z'
loop_
_atom_site_label
_atom_site_type_symbol
_atom_site_fract_x
_atom_site_fract_y
_atom_site_fract_z
Dy1 Dy 0.250 0.250 0.250
Lu1 Lu 0.750 0.750 0.750
Al1 Al 0.000 0.000 0.000
Ag1 Ag 0.500 0.500 0.500

***

No. 13
# PrNdMgGa, optimized geometry, DFT PBE
# - calculated formation energy (eV/f.u.) = -1.3
# - raw total energy (eV per atom) = -3.872
# - symmetry = F-43m (216)
# - size of the total moment (μB/atom) = 0.00
data_PrNdMgGa
_chemical_formula_sum 'Pr1 Nd1 Mg1 Ga1'
_symmetry_space_group_name_H-M 'P 1'
_symmetry_Int_Tables_number 1
_cell_length_a 5.355
_cell_length_b 5.355
_cell_length_c 5.355
_cell_angle_alpha 60.00
_cell_angle_beta 60.00
_cell_angle_gamma 60.00
loop_
_symmetry_equiv_pos_as_xyz
'x,y,z'
loop_
_atom_site_label
_atom_site_type_symbol
_atom_site_fract_x
_atom_site_fract_y
_atom_site_fract_z
Nd1 Nd 0.500 0.500 0.500
Pr1 Pr 0.000 0.000 0.000
Ga1 Ga 0.250 0.250 0.250
Mg1 Mg 0.750 0.750 0.750